[1]
First-principles (PBE-GGA) data for CdAsBr2Cl after structural relaxation, as listed in the Alexandria database.

Cell lengths 5.269, 5.269, 5.671 Å; angles 90.00, 90.00, 90.00 degrees
Fractional coordinates of all 5 atoms:
As 0.000 0.000 0.500
Cl 0.500 0.500 0.500
Br 0.000 0.500 0.000
Br 0.500 0.000 0.000
Cd 0.000 0.000 0.000

## Properties
magnetic moment	0.7	μB per formula unit
energy relative to the elements, uncorrected	28	kJ per mole of atoms
energy above the lowest structure with this stoichiometry	0.0	meV per atom
symmetry	No. 123

[2]
First-principles (PBE-GGA) data for CdCoAsBr2 after structural relaxation, as listed in the Alexandria database.

Cell lengths 5.459, 5.459, 5.315 Å; angles 90.00, 90.00, 90.00 degrees
Fractional coordinates of all 5 atoms:
As 0.000 0.000 0.500
Co 0.500 0.500 0.500
Br 0.000 0.500 0.000
Br 0.500 0.000 0.000
Cd 0.000 0.000 0.000

## Properties
magnetic moment	4.0	μB per formula unit
energy relative to the elements, uncorrected	84	kJ per mole of atoms
energy above the lowest structure with this stoichiometry	722.8	meV per atom
symmetry	No. 123

[3]
First-principles (PBE-GGA) data for CdCoAsBr2 after structural relaxation, as listed in the Alexandria database.

Cell lengths 5.121, 5.121, 4.488 Å; angles 90.00, 90.00, 90.00 degrees
Fractional coordinates of all 5 atoms:
As 0.000 0.000 0.500
Co 0.000 0.000 0.000
Br 0.000 0.500 0.000
Br 0.500 0.000 0.000
Cd 0.500 0.500 0.500

## Properties
magnetic moment	0.0	μB per formula unit
energy relative to the elements, uncorrected	14	kJ per mole of atoms
energy above the lowest structure with this stoichiometry	0.0	meV per atom
symmetry	No. 123

[4]
First-principles (PBE-GGA) data for CdCoAs2Br after structural relaxation, as listed in the Alexandria database.

Cell lengths 4.511, 4.511, 5.528 Å; angles 90.00, 90.00, 90.00 degrees
Fractional coordinates of all 5 atoms:
As 0.000 0.500 0.000
As 0.500 0.000 0.000
Co 0.000 0.000 0.000
Br 0.000 0.000 0.500
Cd 0.500 0.500 0.500

## Properties
magnetic moment	0.0	μB per formula unit
energy relative to the elements, uncorrected	26	kJ per mole of atoms
energy above the lowest structure with this stoichiometry	0.0	meV per atom
symmetry	No. 123

[5]
First-principles (PBE-GGA) data for CdCoAs2Br after structural relaxation, as listed in the Alexandria database.

Cell lengths 5.147, 5.147, 5.539 Å; angles 90.00, 90.00, 90.00 degrees
Fractional coordinates of all 5 atoms:
As 0.000 0.500 0.000
As 0.500 0.000 0.000
Co 0.500 0.500 0.500
Br 0.000 0.000 0.500
Cd 0.000 0.000 0.000

## Properties
magnetic moment	3.6	μB per formula unit
energy relative to the elements, uncorrected	117	kJ per mole of atoms
energy above the lowest structure with this stoichiometry	941.4	meV per atom
symmetry	No. 123

[6]
First-principles (PBE-GGA) data for CrCdAsBr2 after structural relaxation, as listed in the Alexandria database.

Cell lengths 5.092, 5.092, 5.001 Å; angles 90.00, 90.00, 90.00 degrees
Fractional coordinates of all 5 atoms:
Cr 0.000 0.000 0.000
As 0.000 0.000 0.500
Br 0.000 0.500 0.000
Br 0.500 0.000 0.000
Cd 0.500 0.500 0.500

## Properties
magnetic moment	2.6	μB per formula unit
energy relative to the elements, uncorrected	1	kJ per mole of atoms
energy above the lowest structure with this stoichiometry	0.0	meV per atom
symmetry	No. 123

| no. | density of states at the Fermi level (states/eV per atom) |
| --- | --- |
| 1 | 1.11 |
| 2 | 1.56 |
| 3 | 0.62 |
| 4 | 1.04 |
| 5 | 0.97 |
| 6 | 0.42 |